Below is a relaxed structure of LiVP2O8, with properties calculated at the GGA+U level.

Summary:
symmetry: C2/m (12)
energy above the most stable polymorph in this dataset: 0.420 eV per formula unit
crystal system: monoclinic
VASP energy: -0.2589 hartree per atom

abc: 4.851 4.851 7.749
angles: 81.85 81.85 64.53
Atoms (fractional coordinates):
1 Li 0.500 0.500 0.000
2 V 0.500 0.500 0.500
3 P 0.181 0.181 0.292
4 P 0.819 0.819 0.708
5 O 0.718 0.718 0.887
6 O 0.709 0.709 0.559
7 O 0.307 0.824 0.326
8 O 0.824 0.307 0.326
9 O 0.176 0.693 0.674
10 O 0.693 0.176 0.674
11 O 0.291 0.291 0.441
12 O 0.282 0.282 0.113